A geometry-optimized Te2W structure. Source: Alexandria via LeMat-Bulk, functional GGA-PBE. Values from VASP.

Output
For the size of the total moment, the calculation gives 0.00 μB per formula unit. The formation energy (no corrections) is 80 kJ per mole of atoms. As for the space-group type: P-3m1, No. 164.

Quantum ESPRESSO input file:
```
&SYSTEM
  ibrav = 0, nat = 3, ntyp = 2
/
ATOMIC_SPECIES
Te 127.60 Te.upf
W 183.84 W.upf
CELL_PARAMETERS angstrom
4.8035 0.0000 0.0000
-2.4018 4.1600 0.0000
0.0000 0.0000 3.4712
ATOMIC_POSITIONS angstrom
Te 0.0000 2.7733 2.7721
Te 2.4018 1.3867 0.6991
W 4.8035 0.0000 0.0000
```